# 1
First-principles (PBE) data for a relaxed YMgNi2S crystal, as listed in the Alexandria database.

Output
The crystal system is tetragonal. Its raw formation energy is 0.560 eV per atom.

a b c (Å): 4.2767 4.2767 5.9414
angles (deg): 90.00 90.00 90.00
Space group P4/mmm (No. 123)
One atom of each set of equivalent atoms:
Y  0.0000  0.0000  0.0000 x1
Mg  0.0000  0.0000  0.5000 x1
Ni  0.0000  0.5000  0.5000 x2
S  0.5000  0.5000  0.0000 x1

***

# 2
First-principles (PBE) data for a relaxed Mg6NiSb crystal, as listed in the Alexandria database.

Output
The crystal system is orthorhombic. Its excess energy over the best structure of this formula in the dataset is 0.0 meV/atom. Its raw formation energy is -0.030 eV per atom.

a b c (Å): 4.8099 6.1905 11.2725
angles (deg): 90.00 90.00 90.00
Space group Amm2 (No. 38)
One atom of each set of equivalent atoms:
Mg  0.0000  0.0000  0.0000 x2
Mg  0.0000  0.2346  0.7387 x4
Mg  0.5000  0.0000  0.1631 x2
Mg  0.5000  0.2436  0.9080 x4
Ni  0.5000  0.0000  0.7134 x2
Sb  0.0000  0.0000  0.5014 x2

***

# 3
First-principles (PBE) data for a relaxed Mg3NiSb crystal, as listed in the Alexandria database.

Output
The crystal system is cubic. Its excess energy over the best structure of this formula in the dataset is 726.5 meV/atom. Its raw formation energy is 0.760 eV per atom.

a b c (Å): 5.2839 5.2839 5.2839
angles (deg): 90.00 90.00 90.00
Space group Pm-3m (No. 221)
One atom of each set of equivalent atoms:
Mg  0.0000  0.0000  0.5000 x3
Ni  0.5000  0.5000  0.5000 x1
Sb  0.0000  0.0000  0.0000 x1

***

# 4
First-principles (PBE) data for a relaxed MgNi9Sb2 crystal, as listed in the Alexandria database.

Output
The crystal system is trigonal. Its excess energy over the best structure of this formula in the dataset is 124.3 meV/atom. Its raw formation energy is -0.019 eV per atom.

a b c (Å): 4.8151 4.8151 24.5621
angles (deg): 90.00 90.00 120.00
Space group R-3m (No. 166, hexagonal axes)
One atom of each set of equivalent atoms:
Mg  0.0000  0.0000  0.0000 x3
Ni  0.0000  0.0000  0.3331 x6
Ni  0.0000  0.0000  0.5000 x3
Ni  0.0012  0.5006  0.9184 x18
Sb  0.0000  0.0000  0.1285 x6

***

# 5
First-principles (PBE) data for a relaxed Mg2NiSb2 crystal, as listed in the Alexandria database.

Output
The crystal system is tetragonal. Its raw formation energy is -0.063 eV per atom.

a b c (Å): 6.8028 6.8028 4.8318
angles (deg): 90.00 90.00 90.00
Space group P4/mbm (No. 127)
One atom of each set of equivalent atoms:
Mg  0.1677  0.3323  0.0000 x4
Ni  0.0000  0.0000  0.5000 x2
Sb  0.1555  0.6555  0.5000 x4

***

# 6
First-principles (PBE) data for a relaxed MgNi2Sb2 crystal, as listed in the Alexandria database.

Output
The crystal system is tetragonal. Its raw formation energy is 0.044 eV per atom.

a b c (Å): 7.6725 7.6725 3.1786
angles (deg): 90.00 90.00 90.00
Space group P4/mbm (No. 127)
One atom of each set of equivalent atoms:
Mg  0.0000  0.0000  0.0000 x2
Ni  0.1229  0.3771  0.5000 x4
Sb  0.1601  0.6601  0.0000 x4

***

Calculated total energy in eV per atom, matching the order above: -4.19 -2.46 -2.18 -5.18 -3.51 -4.24
Magnetization in μB per formula unit, matching the order above: 0.000 0.000 0.000 1.487 0.000 0.000